A | Here is a geometry-optimized CsGe2Bi2 structure from Alexandria. Energies are from PBE-GGA.

a b c (Å): 9.2037 9.2037 3.8579
angles (deg): 90.00 90.00 90.00
With the nearest neighbours (Å) after each atom.
Element x y z (fractional)
Cs 0.0000 0.0000 0.0000  4 Ge 3.75, 2 Cs 3.86, 8 Bi 4.00
Cs 0.5000 0.5000 0.0000  4 Ge 3.75, 2 Cs 3.86, 8 Bi 4.00
Ge 0.3929 0.8929 0.0000  1 Ge 2.79, 4 Bi 3.08
Ge 0.8929 0.6071 0.0000  1 Ge 2.79, 4 Bi 3.08
Ge 0.6071 0.1071 0.0000  1 Ge 2.79, 4 Bi 3.08
Ge 0.1071 0.3929 0.0000  1 Ge 2.79, 4 Bi 3.08
Bi 0.1500 0.6500 0.5000  4 Ge 3.08
Bi 0.6500 0.8500 0.5000  4 Ge 3.08
Bi 0.8500 0.3500 0.5000  4 Ge 3.08
Bi 0.3500 0.1500 0.5000  4 Ge 3.08

Computed properties:
As for the calculated volume: 326.8 Å³ per cell. The space-group type is P4/mbm (127).

***

B | Here is a geometry-optimized CsGe2Bi2 structure from Alexandria. Energies are from PBE-GGA.

a b c (Å): 7.3168 7.3168 7.3168
angles (deg): 138.16 138.16 60.66
With the nearest neighbours (Å) after each atom.
Element x y z (fractional)
Cs 0.0000 0.0000 0.0000  8 Ge 4.03, 8 Bi 4.10
Ge 0.6283 0.6283 0.0000  4 Bi 3.03, 1 Ge 3.24
Ge 0.3717 0.3717 0.0000  4 Bi 3.03, 1 Ge 3.24
Bi 0.7500 0.2500 0.5000  4 Ge 3.03
Bi 0.2500 0.7500 0.5000  4 Ge 3.03

Computed properties:
As for the calculated volume: 172.4 Å³ per cell. The space-group type is I4/mmm (139).

***

C | Here is a geometry-optimized CsGe2Bi2 structure from Alexandria. Energies are from PBE-GGA.

a b c (Å): 9.5019 9.5019 3.8583
angles (deg): 90.00 90.00 90.00
With the nearest neighbours (Å) after each atom.
Element x y z (fractional)
Cs 0.0000 0.0000 0.0000  4 Bi 3.74, 2 Cs 3.86
Cs 0.5000 0.5000 0.0000  4 Bi 3.74, 2 Cs 3.86
Ge 0.1204 0.6204 0.5000  4 Bi 3.05, 1 Ge 3.24
Ge 0.6204 0.8796 0.5000  4 Bi 3.05, 1 Ge 3.24
Ge 0.8796 0.3796 0.5000  4 Bi 3.05, 1 Ge 3.24
Ge 0.3796 0.1204 0.5000  4 Bi 3.05, 1 Ge 3.24
Bi 0.3723 0.8723 0.0000  4 Ge 3.05
Bi 0.8723 0.6277 0.0000  4 Ge 3.05
Bi 0.6277 0.1277 0.0000  4 Ge 3.05
Bi 0.1277 0.3723 0.0000  4 Ge 3.05

Computed properties:
As for the calculated volume: 348.4 Å³ per cell. The space-group type is P4/mbm (127).

***

D | Here is a geometry-optimized CsGe2Bi2 structure from Alexandria. Energies are from PBE-GGA.

a b c (Å): 7.7491 7.7491 7.7491
angles (deg): 141.15 141.15 56.11
With the nearest neighbours (Å) after each atom.
Element x y z (fractional)
Cs 0.0000 0.0000 0.0000  8 Bi 4.16, 8 Ge 4.28
Ge 0.7500 0.2500 0.5000  4 Bi 2.94
Ge 0.2500 0.7500 0.5000  4 Bi 2.94
Bi 0.6467 0.6467 0.0000  4 Ge 2.94
Bi 0.3533 0.3533 0.0000  4 Ge 2.94

Computed properties:
As for the calculated volume: 181.7 Å³ per cell. The space-group type is I4/mmm (139).

***

What should be chosen as the most stable of them? Choose D.

***

A | Here is a geometry-optimized CsGeBiS4 structure from Alexandria. Energies are from PBE-GGA.

a b c (Å): 6.9896 6.7186 19.0889
angles (deg): 71.89 90.00 90.00
With the nearest neighbours (Å) after each atom.
Element x y z (fractional)
Cs 0.7489 0.7186 0.0336  8 S 3.56-3.86
Cs 0.2511 0.2814 0.9664  8 S 3.56-3.86
Cs 0.7511 0.7186 0.5336  8 S 3.56-3.86
Cs 0.2489 0.2814 0.4664  8 S 3.56-3.86
Ge 0.7243 0.2088 0.8354  4 S 2.22-2.26
Ge 0.7757 0.2088 0.3354  4 S 2.22-2.26
Ge 0.2243 0.7912 0.6646  4 S 2.22-2.26
Ge 0.2757 0.7912 0.1646  4 S 2.22-2.26
Bi 0.1989 0.2368 0.2239  5 S 2.74-3.03
Bi 0.6989 0.7632 0.2761  5 S 2.74-3.03
Bi 0.8011 0.7632 0.7761  5 S 2.74-3.03
Bi 0.3011 0.2368 0.7239  5 S 2.74-3.03
S 0.5173 0.0162 0.1413  1 Ge 2.22
S 0.7496 0.4166 0.4056  1 Ge 2.22
S 0.9850 0.0067 0.8465  1 Ge 2.24
S 0.8397 0.4144 0.2196  1 Ge 2.26
S 0.9827 0.0162 0.6413  1 Ge 2.22
S 0.2496 0.5834 0.0944  1 Ge 2.22
S 0.7504 0.4166 0.9056  1 Ge 2.22
S 0.3397 0.5856 0.2804  1 Ge 2.26
S 0.2504 0.5834 0.5944  1 Ge 2.22
S 0.4827 0.9838 0.8587  1 Ge 2.22
S 0.6603 0.4144 0.7196  1 Ge 2.26
S 0.1603 0.5856 0.7804  1 Ge 2.26
S 0.0173 0.9838 0.3587  1 Ge 2.22
S 0.0150 0.9933 0.1535  1 Ge 2.24
S 0.5150 0.0067 0.3465  1 Ge 2.24
S 0.4850 0.9933 0.6535  1 Ge 2.24

Computed properties:
As for the calculated volume: 852.0 Å³ per cell. The space-group type is P2_1/c (14).

***

B | Here is a geometry-optimized CsGeBiS4 structure from Alexandria. Energies are from PBE-GGA.

a b c (Å): 6.7149 6.9469 9.5446
angles (deg): 90.00 108.26 90.00
With the nearest neighbours (Å) after each atom.
Element x y z (fractional)
Cs 0.7284 0.7500 0.9393  8 S 3.45-3.80
Cs 0.2716 0.2500 0.0607  8 S 3.45-3.80
Ge 0.2289 0.7500 0.3375  4 S 2.20-2.25
Ge 0.7711 0.2500 0.6625  4 S 2.20-2.25
Bi 0.7740 0.7500 0.4645  6 S 2.74-3.06
Bi 0.2260 0.2500 0.5355  6 S 2.74-3.06
S 0.9939 0.5001 0.6985  1 Ge 2.25
S 0.0061 0.0001 0.3015  1 Ge 2.25
S 0.0061 0.4999 0.3015  1 Ge 2.25
S 0.9939 0.9999 0.6985  1 Ge 2.25
S 0.4254 0.7500 0.1909  1 Ge 2.20
S 0.5746 0.2500 0.8091  1 Ge 2.20
S 0.4391 0.7500 0.5701  1 Ge 2.23
S 0.5609 0.2500 0.4299  1 Ge 2.23

Computed properties:
As for the calculated volume: 422.8 Å³ per cell. The space-group type is P2_1/m (11).

***

What should be chosen as the most stable of them? Choose A.

***

A | Here is a geometry-optimized Cs4BiH structure from Alexandria. Energies are from PBE-GGA.

a b c (Å): 7.7679 11.1917 9.4198
angles (deg): 114.19 98.45 116.54
With the nearest neighbours (Å) after each atom.
Element x y z (fractional)
Cs 0.1310 0.2281 0.8464  2 H 3.76-3.87, 2 Bi 3.92-4.02, 2 Cs 4.08-4.12
Cs 0.7739 0.7414 0.6990  2 H 3.24-3.25
Cs 0.2154 0.6184 0.8464  2 H 3.76-3.87, 2 Bi 3.92-4.02, 2 Cs 4.08-4.12
Cs 0.4250 0.9576 0.6990  2 H 3.24-3.25
Cs 0.5750 0.0424 0.3010  2 H 3.24-3.25
Cs 0.7846 0.3816 0.1536  2 H 3.76-3.87, 2 Bi 3.92-4.02, 2 Cs 4.08-4.12
Cs 0.2261 0.2586 0.3010  2 H 3.24-3.25
Cs 0.8690 0.7719 0.1536  2 H 3.76-3.87, 2 Bi 3.92-4.02, 2 Cs 4.08-4.12
Bi 0.3931 0.6431 0.2862  8 Cs 3.91-4.02
Bi 0.6069 0.3569 0.7138  8 Cs 3.91-4.02
H 0.2478 0.9978 0.9956  4 Cs 3.24-3.25
H 0.7522 0.0022 0.0044  4 Cs 3.24-3.25

Computed properties:
As for the calculated volume: 611.2 Å³ per cell. The space-group type is C2/c (15).

***

B | Here is a geometry-optimized Cs4BiH structure from Alexandria. Energies are from PBE-GGA.

a b c (Å): 9.3116 9.3056 11.6064
angles (deg): 120.93 120.87 73.56
With the nearest neighbours (Å) after each atom.
Element x y z (fractional)
Cs 0.4245 0.7596 0.5212  1 H 3.16
Cs 0.7412 0.0755 0.9801  1 H 3.15
Cs 0.9037 0.7387 0.4792  1 H 3.16
Cs 0.7605 0.5941 0.0195  1 H 3.16
Cs 0.5755 0.2404 0.4788  1 H 3.16
Cs 0.0963 0.2613 0.5208  1 H 3.16
Cs 0.2588 0.9245 0.0199  1 H 3.15
Cs 0.2395 0.4059 0.9805  1 H 3.16
Bi 0.8747 0.6248 0.7498  8 Cs 3.90-3.94
Bi 0.1253 0.3752 0.2502  8 Cs 3.90-3.94
H 0.3764 0.1262 0.7511  4 Cs 3.15-3.16
H 0.6236 0.8738 0.2489  4 Cs 3.15-3.16

Computed properties:
As for the calculated volume: 740.2 Å³ per cell. The space-group type is P-1 (2).

***

What should be chosen as the most stable of them? Choose A.

***

A | Here is a geometry-optimized CsHf2Bi2 structure from Alexandria. Energies are from PBE-GGA.

a b c (Å): 9.4210 9.4210 3.3344
angles (deg): 90.00 90.00 90.00
With the nearest neighbours (Å) after each atom.
Element x y z (fractional)
Cs 0.0000 0.0000 0.0000  2 Cs 3.33
Cs 0.5000 0.5000 0.0000  2 Cs 3.33
Hf 0.3885 0.8885 0.0000  1 Hf 2.97, 4 Bi 3.17
Hf 0.8885 0.6115 0.0000  1 Hf 2.97, 4 Bi 3.17
Hf 0.6115 0.1115 0.0000  1 Hf 2.97, 4 Bi 3.17
Hf 0.1115 0.3885 0.0000  1 Hf 2.97, 4 Bi 3.17
Bi 0.1688 0.6688 0.5000  6 Hf 3.17-3.37, 2 Bi 3.33
Bi 0.6688 0.8312 0.5000  6 Hf 3.17-3.37, 2 Bi 3.33
Bi 0.8312 0.3312 0.5000  6 Hf 3.17-3.37, 2 Bi 3.33
Bi 0.3312 0.1688 0.5000  6 Hf 3.17-3.37, 2 Bi 3.33

Computed properties:
As for the calculated volume: 295.9 Å³ per cell. The space-group type is P4/mbm (127).

***

B | Here is a geometry-optimized CsHf2Bi2 structure from Alexandria. Energies are from PBE-GGA.

a b c (Å): 8.9617 8.9617 8.9617
angles (deg): 149.77 149.77 43.29
With the nearest neighbours (Å) after each atom.
Element x y z (fractional)
Cs 0.0000 0.0000 0.0000  8 Bi 4.04
Hf 0.7500 0.2500 0.5000  4 Bi 2.98, 4 Hf 3.31
Hf 0.2500 0.7500 0.5000  4 Bi 2.98, 4 Hf 3.31
Bi 0.6395 0.6395 0.0000  4 Hf 2.98
Bi 0.3605 0.3605 0.0000  4 Hf 2.98

Computed properties:
As for the calculated volume: 182.0 Å³ per cell. The space-group type is I4/mmm (139).

***

What should be chosen as the most stable of them? Choose B.

***

A | Here is a geometry-optimized CsHfBi3 structure from Alexandria. Energies are from PBE-GGA.

a b c (Å): 6.0314 6.0314 6.0314
angles (deg): 90.00 90.00 90.00
With the nearest neighbours (Å) after each atom.
Element x y z (fractional)
Cs 0.0000 0.0000 0.0000  6 Bi 3.02
Hf 0.5000 0.5000 0.5000  12 Bi 4.26
Bi 0.0000 0.5000 0.0000  2 Cs 3.02
Bi 0.0000 0.0000 0.5000  2 Cs 3.02
Bi 0.5000 0.0000 0.0000  2 Cs 3.02

Computed properties:
As for the calculated volume: 219.4 Å³ per cell. The space-group type is Pm-3m (221).

***

B | Here is a geometry-optimized CsHfBi3 structure from Alexandria. Energies are from PBE-GGA.

a b c (Å): 5.7886 5.7886 5.7886
angles (deg): 90.00 90.00 90.00
With the nearest neighbours (Å) after each atom.
Element x y z (fractional)
Cs 0.5000 0.5000 0.5000  12 Bi 4.09
Hf 0.0000 0.0000 0.0000  6 Bi 2.89
Bi 0.0000 0.5000 0.0000  2 Hf 2.89
Bi 0.0000 0.0000 0.5000  2 Hf 2.89
Bi 0.5000 0.0000 0.0000  2 Hf 2.89

Computed properties:
As for the calculated volume: 194.0 Å³ per cell. The space-group type is Pm-3m (221).

***

What should be chosen as the most stable of them? Choose B.